BaLi4: optimized geometry, PBE-GGA.

Output
Total magnetic moment = 0.0000 μB/atom
Theoretical density = 1.789 g/cm3
Energy relative to the elements = 25 kJ/mol of formula units
Crystal system = tetragonal

Cell: 5.148 5.148 11.562 Å, 90.00 90.00 90.00°
Space group I4/mmm (No. 139)
Symmetry-distinct sites (fractional):
Ba  0.000  0.000  0.000 x2
Li  0.000  0.000  0.370 x4
Li  0.000  0.500  0.250 x4